No. 1
This record from Alexandria via LeMat-Bulk describes a relaxed structure of LaZrSF2. The functional is PBE-GGA.

abc: 4.9791 4.9791 4.7010
angles: 90.00 90.00 90.00
Fractional coordinates of all 5 atoms:
La 0.0000 0.0000 0.0000
Zr 0.5000 0.5000 0.0000
S 0.5000 0.5000 0.5000
F 0.0000 0.5000 0.5000
F 0.5000 0.0000 0.5000

Calculated values
Raw total energy = -25.61 eV for the cell shown
Formation energy (no corrections) = -852 meV per atom

No. 2
This record from Alexandria via LeMat-Bulk describes a relaxed structure of Tl2HgH2F6. The functional is PBE-GGA.

abc: 7.1170 7.1170 7.1170
angles: 45.63 45.63 45.63
Fractional coordinates of all 11 atoms:
Tl 0.2148 0.2148 0.2148
Tl 0.7852 0.7852 0.7852
Hg 0.0000 0.0000 0.0000
H 0.4096 0.4096 0.4096
H 0.5904 0.5904 0.5904
F 0.2679 0.2679 0.7001
F 0.2679 0.7001 0.2679
F 0.2999 0.7321 0.7321
F 0.7001 0.2679 0.2679
F 0.7321 0.2999 0.7321
F 0.7321 0.7321 0.2999

Calculated values
Raw total energy = -39.09 eV for the cell shown

No. 3
This record from Alexandria via LeMat-Bulk describes a relaxed structure of La2YHo12. The functional is PBE-GGA.

abc: 6.6374 6.6374 24.4631
angles: 92.23 92.23 115.20
Fractional coordinates of all 30 atoms:
La 0.0649 0.0649 0.2726
La 0.4281 0.4281 0.7267
La 0.5719 0.5719 0.2733
La 0.9351 0.9351 0.7274
Y 0.2500 0.2500 0.0000
Y 0.7500 0.7500 0.0000
Ho 0.0503 0.5501 0.1999
Ho 0.0848 0.5804 0.3317
Ho 0.1405 0.1405 0.5731
Ho 0.1411 0.6355 0.5545
Ho 0.2160 0.2160 0.8653
Ho 0.2316 0.7316 0.9260
Ho 0.2684 0.7684 0.0740
Ho 0.2842 0.2842 0.1347
Ho 0.3550 0.3550 0.4310
Ho 0.3645 0.8589 0.4455
Ho 0.4196 0.9152 0.6683
Ho 0.4499 0.9497 0.8001
Ho 0.5501 0.0503 0.1999
Ho 0.5804 0.0848 0.3317
Ho 0.6355 0.1411 0.5545
Ho 0.6450 0.6450 0.5690
Ho 0.7158 0.7158 0.8653
Ho 0.7316 0.2316 0.9260
Ho 0.7684 0.2684 0.0740
Ho 0.7840 0.7840 0.1347
Ho 0.8589 0.3645 0.4455
Ho 0.8595 0.8595 0.4269
Ho 0.9152 0.4196 0.6683
Ho 0.9497 0.4499 0.8001

Calculated values
Calculated formation energy = 160 kJ/mol of formula units
Raw total energy = -139.19 eV for the cell shown

No. 4
This record from Alexandria via LeMat-Bulk describes a relaxed structure of Pm4CoRu. The functional is PBE-GGA.

abc: 8.0858 8.0858 6.3159
angles: 108.42 108.42 112.89
Fractional coordinates of all 12 atoms:
Pm 0.0437 0.6859 0.8952
Pm 0.2363 0.3625 0.7297
Pm 0.3141 0.9563 0.6048
Pm 0.3625 0.2363 0.2297
Pm 0.6375 0.7637 0.7703
Pm 0.6859 0.0437 0.3952
Pm 0.7637 0.6375 0.2703
Pm 0.9563 0.3141 0.1048
Co 0.0031 0.9969 0.2500
Co 0.9969 0.0031 0.7500
Ru 0.3640 0.6360 0.2500
Ru 0.6360 0.3640 0.7500

Calculated values
Energy relative to the lowest polymorph listed for this composition = 0 meV/atom
Calculated formation energy = -82 kJ/mol of formula units
Raw total energy = -72.47 eV for the cell shown

No. 5
This record from Alexandria via LeMat-Bulk describes a relaxed structure of Sm3Zn2Pt. The functional is PBE-GGA.

abc: 5.0894 5.0894 6.3122
angles: 90.00 90.00 120.00
Fractional coordinates of all 6 atoms:
Sm 0.0000 0.0000 0.0000
Sm 0.3333 0.6667 0.6529
Sm 0.6667 0.3333 0.3471
Zn 0.3333 0.6667 0.1411
Zn 0.6667 0.3333 0.8589
Pt 0.0000 0.0000 0.5000

Calculated values
Calculated formation energy = -345 kJ/mol of formula units
Raw total energy = -26.32 eV for the cell shown

No. 6
This record from Alexandria via LeMat-Bulk describes a relaxed structure of Zr2Ag2N. The functional is PBE-GGA.

abc: 6.2055 6.2055 4.7296
angles: 90.00 90.00 90.00
Fractional coordinates of all 10 atoms:
Zr 0.1651 0.3349 0.0000
Zr 0.3349 0.8349 0.0000
Zr 0.6651 0.1651 0.0000
Zr 0.8349 0.6651 0.0000
Ag 0.1544 0.6544 0.5000
Ag 0.3456 0.1544 0.5000
Ag 0.6544 0.8456 0.5000
Ag 0.8456 0.3456 0.5000
N 0.0000 0.0000 0.5000
N 0.5000 0.5000 0.5000

Calculated values
Energy relative to the lowest polymorph listed for this composition = 0 meV/atom
Raw total energy = -55.11 eV for the cell shown
Formation energy (no corrections) = 714 meV per atom

No. 7
This record from Alexandria via LeMat-Bulk describes a relaxed structure of Cr2ReHg. The functional is PBE-GGA.

abc: 5.2058 5.2058 5.2058
angles: 146.89 129.40 61.81
Fractional coordinates of all 4 atoms:
Cr 0.0000 0.0000 0.0000
Cr 0.7929 0.2929 0.5000
Re 0.5498 0.5498 0.0000
Hg 0.2668 0.7668 0.5000

Calculated values
Calculated formation energy = 222 kJ/mol of formula units
Raw total energy = -29.69 eV for the cell shown

No. 8
This record from Alexandria via LeMat-Bulk describes a relaxed structure of MnTl5Te4. The functional is PBE-GGA.

abc: 9.8573 9.8573 8.3983
angles: 109.31 109.31 26.13
Fractional coordinates of all 10 atoms:
Mn 0.0000 0.0000 0.0000
Tl 0.0000 0.0000 0.5000
Tl 0.3009 0.3009 0.6744
Tl 0.3414 0.3414 0.2328
Tl 0.6586 0.6586 0.7672
Tl 0.6991 0.6991 0.3256
Te 0.1503 0.1503 0.0332
Te 0.4755 0.4755 0.7677
Te 0.5245 0.5245 0.2323
Te 0.8497 0.8497 0.9668

Calculated values
Raw total energy = -35.69 eV for the cell shown
Formation energy (no corrections) = -212 meV per atom

No. 9
This record from Alexandria via LeMat-Bulk describes a relaxed structure of PuTlZn. The functional is PBE-GGA.

abc: 12.7710 12.7710 12.7710
angles: 16.29 16.29 16.29
Fractional coordinates of all 6 atoms:
Pu 0.1810 0.1810 0.1810
Pu 0.8190 0.8190 0.8190
Tl 0.3717 0.3717 0.3717
Tl 0.6283 0.6283 0.6283
Zn 0.0954 0.0954 0.0954
Zn 0.9046 0.9046 0.9046

Calculated values
Calculated formation energy = 54 kJ/mol of formula units
Raw total energy = -34.83 eV for the cell shown

No. 10
This record from Alexandria via LeMat-Bulk describes a relaxed structure of ScReW2. The functional is PBE-GGA.

abc: 2.7845 2.7845 9.1481
angles: 90.00 90.00 109.84
Fractional coordinates of all 4 atoms:
Sc 0.0000 0.0000 0.0000
Re 0.5000 0.5000 0.2557
W 0.0000 0.0000 0.4914
W 0.5000 0.5000 0.7333

Calculated values
Energy relative to the lowest polymorph listed for this composition = 115 meV/atom
Calculated formation energy = 38 kJ/mol of formula units
Raw total energy = -44.30 eV for the cell shown

No. 11
This record from Alexandria via LeMat-Bulk describes a relaxed structure of AlBi2NCl. The functional is PBE-GGA.

abc: 5.8719 5.8719 3.4821
angles: 90.00 90.00 90.00
Fractional coordinates of all 5 atoms:
Al 0.0000 0.0000 0.0000
Bi 0.0000 0.5000 0.0000
Bi 0.5000 0.0000 0.0000
N 0.0000 0.0000 0.5000
Cl 0.5000 0.5000 0.5000

Calculated values
Raw total energy = -20.53 eV for the cell shown
Formation energy (no corrections) = 230 meV per atom

No. 12
This record from Alexandria via LeMat-Bulk describes a relaxed structure of Cd2AgCl. The functional is PBE-GGA.

abc: 5.1120 5.1120 5.1120
angles: 60.00 60.00 60.00
Fractional coordinates of all 4 atoms:
Cd 0.0000 0.0000 0.0000
Cd 0.2500 0.2500 0.2500
Ag 0.5000 0.5000 0.5000
Cl 0.7500 0.7500 0.7500

Calculated values
Energy relative to the lowest polymorph listed for this composition = 322 meV/atom
Raw total energy = -6.29 eV for the cell shown
Formation energy (no corrections) = 59 meV per atom

No. 13
This record from Alexandria via LeMat-Bulk describes a relaxed structure of Cs2Rb2Pd. The functional is PBE-GGA.

abc: 9.2232 9.2232 7.8855
angles: 90.00 90.00 90.00
Fractional coordinates of all 10 atoms:
Cs 0.1948 0.3052 0.0000
Cs 0.3052 0.8052 0.0000
Cs 0.6948 0.1948 0.0000
Cs 0.8052 0.6948 0.0000
Rb 0.1740 0.6740 0.5000
Rb 0.3260 0.1740 0.5000
Rb 0.6740 0.8260 0.5000
Rb 0.8260 0.3260 0.5000
Pd 0.0000 0.0000 0.5000
Pd 0.5000 0.5000 0.5000

Calculated values
Energy relative to the lowest polymorph listed for this composition = 130 meV/atom
Calculated formation energy = 94 kJ/mol of formula units
Raw total energy = -15.73 eV for the cell shown

No. 14
This record from Alexandria via LeMat-Bulk describes a relaxed structure of K2DyZn3F12. The functional is PBE-GGA.

abc: 7.5581 7.5581 7.5581
angles: 59.21 59.21 59.21
Fractional coordinates of all 18 atoms:
K 0.1332 0.1332 0.1332
K 0.8668 0.8668 0.8668
Dy 0.5000 0.5000 0.5000
Zn 0.0000 0.5000 0.5000
Zn 0.5000 0.0000 0.5000
Zn 0.5000 0.5000 0.0000
F 0.1438 0.5950 0.5950
F 0.1963 0.1963 0.5835
F 0.1963 0.5835 0.1963
F 0.4050 0.4050 0.8562
F 0.4050 0.8562 0.4050
F 0.4165 0.8037 0.8037
F 0.5835 0.1963 0.1963
F 0.5950 0.1438 0.5950
F 0.5950 0.5950 0.1438
F 0.8037 0.4165 0.8037
F 0.8037 0.8037 0.4165
F 0.8562 0.4050 0.4050

Calculated values
Raw total energy = -81.71 eV for the cell shown
Formation energy (no corrections) = -2702 meV per atom

No. 15
This record from Alexandria via LeMat-Bulk describes a relaxed structure of Pa3AgTe6. The functional is PBE-GGA.

abc: 9.4403 9.4403 7.3299
angles: 90.00 90.00 100.56
Fractional coordinates of all 20 atoms:
Pa 0.0996 0.9004 0.5000
Pa 0.2341 0.4286 0.3902
Pa 0.4286 0.2341 0.8902
Pa 0.5714 0.7659 0.3902
Pa 0.7659 0.5714 0.8902
Pa 0.9004 0.0996 0.0000
Ag 0.2741 0.7259 0.8344
Ag 0.7259 0.2741 0.3344
Te 0.0344 0.5855 0.6388
Te 0.1245 0.2055 0.6959
Te 0.2055 0.1245 0.1959
Te 0.2683 0.7317 0.2165
Te 0.4145 0.9656 0.6388
Te 0.4627 0.5373 0.6979
Te 0.5373 0.4627 0.1979
Te 0.5855 0.0344 0.1388
Te 0.7317 0.2683 0.7165
Te 0.7945 0.8755 0.6959
Te 0.8755 0.7945 0.1959
Te 0.9656 0.4145 0.1388

Calculated values
Raw total energy = -113.74 eV for the cell shown
Formation energy (no corrections) = -668 meV per atom

No. 16
This record from Alexandria via LeMat-Bulk describes a relaxed structure of PmNiBi. The functional is PBE-GGA.

abc: 6.3554 6.3554 6.3554
angles: 148.29 148.29 45.45
Fractional coordinates of all 3 atoms:
Pm 0.0000 0.0000 0.0000
Ni 0.6405 0.6405 0.0000
Bi 0.2795 0.2795 0.0000

Calculated values
Energy relative to the lowest polymorph listed for this composition = 423 meV/atom
Calculated formation energy = -71 kJ/mol of formula units
Raw total energy = -15.15 eV for the cell shown

No. 17
This record from Alexandria via LeMat-Bulk describes a relaxed structure of Zr2ScTiH. The functional is PBE-GGA.

abc: 4.4436 4.4436 4.4738
angles: 90.00 90.00 90.00
Fractional coordinates of all 5 atoms:
Zr 0.0000 0.5000 0.0000
Zr 0.5000 0.0000 0.0000
Sc 0.0000 0.0000 0.5000
Ti 0.5000 0.5000 0.5000
H 0.0000 0.0000 0.0000

Calculated values
Energy relative to the lowest polymorph listed for this composition = 4 meV/atom
Raw total energy = -35.09 eV for the cell shown

No. 18
This record from Alexandria via LeMat-Bulk describes a relaxed structure of Pr2Sm3In4. The functional is PBE-GGA.

abc: 5.4222 5.4222 10.5068
angles: 90.14 90.14 60.09
Fractional coordinates of all 9 atoms:
Pr 0.1672 0.1672 0.2802
Pr 0.8328 0.8328 0.7198
Sm 0.1665 0.1665 0.9235
Sm 0.5000 0.5000 0.5000
Sm 0.8335 0.8335 0.0765
In 0.1661 0.1661 0.6006
In 0.5002 0.5002 0.1490
In 0.4998 0.4998 0.8510
In 0.8339 0.8339 0.3994

Calculated values
Energy relative to the lowest polymorph listed for this composition = 0 meV/atom
Calculated formation energy = -355 kJ/mol of formula units
Raw total energy = -38.35 eV for the cell shown

No. 19
This record from Alexandria via LeMat-Bulk describes a relaxed structure of CaCoRe2. The functional is PBE-GGA.

abc: 3.0960 3.0960 7.1803
angles: 90.00 90.00 90.00
Fractional coordinates of all 4 atoms:
Ca 0.0000 0.0000 0.0000
Co 0.5000 0.5000 0.7083
Re 0.0000 0.0000 0.5135
Re 0.5000 0.5000 0.3172

Calculated values
Energy relative to the lowest polymorph listed for this composition = 35 meV/atom
Calculated formation energy = 146 kJ/mol of formula units
Raw total energy = -32.49 eV for the cell shown

No. 20
This record from Alexandria via LeMat-Bulk describes a relaxed structure of SrBr2N2. The functional is PBE-GGA.

abc: 4.6230 4.6230 10.0916
angles: 95.54 95.54 59.97
Fractional coordinates of all 5 atoms:
Sr 0.0000 0.0000 0.0000
Br 0.3549 0.3549 0.1547
Br 0.6451 0.6451 0.8453
N 0.0307 0.0307 0.4531
N 0.9693 0.9693 0.5469

Calculated values
Energy relative to the lowest polymorph listed for this composition = 0 meV/atom
Raw total energy = -28.02 eV for the cell shown
Formation energy (no corrections) = -1267 meV per atom

no.,density of states at the Fermi level (states/eV per atom)
1,1.16
2,0.00
3,1.57
4,0.93
5,0.78
6,0.88
7,1.03
8,0.17
9,1.21
10,0.72
11,0.65
12,0.48
13,0.38
14,0.27
15,1.70
16,0.91
17,1.30
18,1.12
19,1.15
20,0.00